1.
Computed, not measured: a geometry-optimized ScTcIr2 structure at the GGA-PBE level of DFT.

a = 4.9095 Å, b = 4.9095 Å, c = 4.9095 Å
α = 132.99°, β = 132.97°, γ = 68.69°
Closest atoms and distances in Å follow each position.
Positions (direct):
1 Ir 0.7500 0.2500 0.5000  4 Tc 2.77, 4 Sc 2.82, 4 Ir 2.82
2 Tc 0.2500 0.7500 0.5000  8 Ir 2.77-2.82, 4 Sc 2.82
3 Ir 0.0001 0.0001 0.0000  4 Sc 2.77, 4 Tc 2.82, 4 Ir 2.82
4 Sc 0.4999 0.4999 0.0000  8 Ir 2.77-2.82, 4 Tc 2.82

Calculated values
Energy relative to the lowest polymorph listed for this composition: 119 meV/atom
Symmetry: I-4m2, No. 119

2.
Computed, not measured: a geometry-optimized Sc4TcIr structure at the GGA-PBE level of DFT.

a = 5.3971 Å, b = 5.3971 Å, c = 5.3971 Å
α = 60.00°, β = 60.00°, γ = 60.00°
Closest atoms and distances in Å follow each position.
Positions (direct):
1 Sc 0.3748 0.8756 0.3748  6 Sc 2.69-2.70
2 Sc 0.8756 0.3748 0.3748  6 Sc 2.69-2.70
3 Sc 0.3748 0.3748 0.8756  6 Sc 2.69-2.70
4 Tc 0.7500 0.7500 0.7500  12 Sc 3.16, 4 Ir 3.31
5 Ir 0.0000 0.0000 0.0000  12 Sc 3.16, 4 Tc 3.31
6 Sc 0.3748 0.3748 0.3748  6 Sc 2.69-2.70

Calculated values
Energy relative to the lowest polymorph listed for this composition: 771 meV/atom
Symmetry: F-43m, No. 216

3.
Computed, not measured: a geometry-optimized ScTcIr2 structure at the GGA-PBE level of DFT.

a = 4.8914 Å, b = 4.8914 Å, c = 4.8055 Å
α = 80.37°, β = 80.37°, γ = 33.73°
Closest atoms and distances in Å follow each position.
Positions (direct):
1 Sc 0.4921 0.4921 0.5261  7 Ir 2.68-2.84, 1 Tc 2.83, 2 Sc 2.84
2 Ir 0.7398 0.7398 0.7335  3 Sc 2.68-2.79, 4 Tc 2.72-2.88, 4 Ir 2.82-2.84
3 Ir 0.0025 0.0025 0.0351  3 Tc 2.64-2.73, 4 Sc 2.74-2.84, 4 Ir 2.82-2.84
4 Tc 0.2656 0.2656 0.2053  7 Ir 2.64-2.88, 1 Sc 2.83, 2 Tc 2.84

Calculated values
Energy relative to the lowest polymorph listed for this composition: 91 meV/atom
Symmetry: Cm, No. 8

4.
Computed, not measured: a geometry-optimized Sc2TcIr2 structure at the GGA-PBE level of DFT.

a = 6.5680 Å, b = 6.5680 Å, c = 4.1964 Å
α = 90.00°, β = 90.00°, γ = 90.00°
Closest atoms and distances in Å follow each position.
Positions (direct):
1 Ir 0.6378 0.1378 0.0000  2 Tc 2.55, 1 Ir 2.56, 2 Sc 2.71
2 Sc 0.1768 0.6768 0.5000  6 Ir 2.71-2.96
3 Tc 0.0000 0.0000 0.0000  4 Ir 2.55
4 Sc 0.3232 0.1768 0.5000  6 Ir 2.71-2.96
5 Ir 0.1378 0.3622 0.0000  2 Tc 2.55, 1 Ir 2.56, 2 Sc 2.71
6 Ir 0.8622 0.6378 0.0000  2 Tc 2.55, 1 Ir 2.56, 2 Sc 2.71
7 Tc 0.5000 0.5000 0.0000  4 Ir 2.55
8 Sc 0.6768 0.8232 0.5000  6 Ir 2.71-2.96
9 Ir 0.3622 0.8622 0.0000  2 Tc 2.55, 1 Ir 2.56, 2 Sc 2.71
10 Sc 0.8232 0.3232 0.5000  6 Ir 2.71-2.96

Calculated values
Final energy: -8.65 eV per atom
Symmetry: P4/mbm, No. 127

5.
Computed, not measured: a geometry-optimized ScTcIr structure at the GGA-PBE level of DFT.

a = 5.1606 Å, b = 4.6348 Å, c = 8.6103 Å
α = 90.00°, β = 102.90°, γ = 90.00°
Closest atoms and distances in Å follow each position.
Positions (direct):
1 Sc 0.8294 0.0000 0.6372  5 Ir 2.61-2.92, 2 Tc 2.73
2 Tc 0.2399 0.0000 0.0348  1 Tc 2.41, 1 Ir 2.70
3 Tc 0.7601 0.5000 0.4652  1 Tc 2.41, 1 Ir 2.70
4 Sc 0.8294 0.5000 0.1372  5 Ir 2.61-2.92, 2 Tc 2.73
5 Tc 0.2399 0.5000 0.5348  1 Tc 2.41, 1 Ir 2.70
6 Ir 0.3481 0.5000 0.2098  5 Sc 2.61-2.92, 3 Tc 2.70-2.75, 2 Ir 2.80
7 Ir 0.6519 0.5000 0.7902  5 Sc 2.61-2.92, 3 Tc 2.70-2.75, 2 Ir 2.80
8 Ir 0.6519 0.0000 0.2902  5 Sc 2.61-2.92, 3 Tc 2.70-2.75, 2 Ir 2.80
9 Tc 0.7601 0.0000 0.9652  1 Tc 2.41, 1 Ir 2.70
10 Ir 0.3481 0.0000 0.7098  5 Sc 2.61-2.92, 3 Tc 2.70-2.75, 2 Ir 2.80
11 Sc 0.1706 0.5000 0.8628  5 Ir 2.61-2.92, 2 Tc 2.73
12 Sc 0.1706 0.0000 0.3628  5 Ir 2.61-2.92, 2 Tc 2.73

Calculated values
Energy relative to the lowest polymorph listed for this composition: 57 meV/atom
Symmetry: C2/m, No. 12

6.
Computed, not measured: a geometry-optimized ScTcIr structure at the GGA-PBE level of DFT.

a = 4.5515 Å, b = 4.5515 Å, c = 5.3563 Å
α = 90.00°, β = 90.00°, γ = 120.00°
Closest atoms and distances in Å follow each position.
Positions (direct):
1 Ir 0.3333 0.6667 0.6565  5 Sc 2.65-2.80, 3 Tc 2.76
2 Sc 0.6667 0.3333 0.8374  5 Ir 2.65-2.80, 3 Tc 2.77
3 Ir 0.6667 0.3333 0.3435  5 Sc 2.65-2.80, 3 Tc 2.76
4 Tc 0.0000 0.0000 0.0000  2 Tc 2.68, 6 Sc 2.77
5 Sc 0.3333 0.6667 0.1626  5 Ir 2.65-2.80, 3 Tc 2.77
6 Tc 0.0000 0.0000 0.5000  2 Tc 2.68, 6 Ir 2.76

Calculated values
Energy relative to the lowest polymorph listed for this composition: 0 meV/atom
Symmetry: P-3m1, No. 164

7.
Computed, not measured: a geometry-optimized ScTcIr2 structure at the GGA-PBE level of DFT.

a = 2.8249 Å, b = 2.8249 Å, c = 7.9487 Å
α = 90.00°, β = 90.00°, γ = 89.98°
Closest atoms and distances in Å follow each position.
Positions (direct):
1 Tc 0.5000 0.5000 0.7740  4 Ir 2.66, 4 Tc 2.82
2 Sc 0.0000 0.0000 0.4911  4 Ir 2.82, 4 Sc 2.82, 4 Tc 3.01
3 Ir 0.5000 0.5000 0.2405  8 Ir 2.80-2.82, 4 Sc 2.82
4 Ir 0.0000 0.0000 0.9943  4 Tc 2.66, 8 Ir 2.80-2.82

Calculated values
Energy relative to the lowest polymorph listed for this composition: 256 meV/atom
Symmetry: P4mm, No. 99

8.
Computed, not measured: a geometry-optimized ScTcIr2 structure at the GGA-PBE level of DFT.

a = 2.8375 Å, b = 3.9286 Å, c = 5.7005 Å
α = 90.00°, β = 90.00°, γ = 90.00°
Closest atoms and distances in Å follow each position.
Positions (direct):
1 Sc 0.0000 0.0000 0.4810  6 Ir 2.73-2.90, 2 Sc 2.84, 4 Tc 2.99
2 Ir 0.0000 0.0000 0.9726  4 Tc 2.64, 2 Sc 2.80-2.90, 6 Ir 2.84-2.92
3 Tc 0.5000 0.5000 0.7877  5 Ir 2.64-2.69, 2 Tc 2.84
4 Ir 0.5000 0.5000 0.2588  1 Tc 2.69, 4 Sc 2.73, 6 Ir 2.84-2.92

Calculated values
Energy relative to the lowest polymorph listed for this composition: 186 meV/atom
Symmetry: Pmm2, No. 25